Entry 1:
KTlN2: optimized geometry, PBE.

a = 4.539 Å, b = 20.750 Å, c = 4.602 Å
α = 90.00°, β = 90.45°, γ = 90.00°
Space group C2/c (No. 15)
Asymmetric unit:
1 K 0.000 0.085 0.250
2 Tl 0.250 0.250 0.000
3 N 0.127 0.457 0.250

Summary:
ΔE_f (raw), eV/atom: -0.057
Magnetization, μB per formula unit: 0.343

---

Entry 2:
KTlN2: optimized geometry, PBE.

a = 4.3309 Å, b = 4.3309 Å, c = 21.0013 Å
α = 90.00°, β = 90.00°, γ = 120.00°
Space group R-3m (No. 166, hexagonal axes)
Asymmetric unit:
1 K 0.0000 0.0000 0.0000
2 Tl 0.0000 0.0000 0.5000
3 N 0.0000 0.0000 0.4061

Summary:
ΔE_f (raw), eV/atom: 1.315
Magnetization, μB per formula unit: 2.000

---

Entry 3:
KTlN2: optimized geometry, PBE.

a = 3.6474 Å, b = 3.6474 Å, c = 21.7756 Å
α = 90.00°, β = 90.00°, γ = 120.00°
Space group R-3m (No. 166, hexagonal axes)
Asymmetric unit:
1 K 0.0000 0.0000 0.0000
2 Tl 0.0000 0.0000 0.5000
3 N 0.0000 0.0000 0.1167

Summary:
ΔE_f (raw), eV/atom: 1.332
Magnetization, μB per formula unit: 2.005

---

Entry 4:
K2TlN: optimized geometry, PBE.

a = 11.568 Å, b = 11.568 Å, c = 4.600 Å
α = 90.00°, β = 90.00°, γ = 90.00°
Space group I-42d (No. 122)
Asymmetric unit:
1 K 0.052 0.750 0.125
2 Tl 0.000 0.000 0.500
3 N 0.000 0.000 0.000

Summary:
ΔE_f (raw), eV/atom: 0.437
Magnetization, μB per formula unit: 0.499

---

Entry 5:
K2TlN: optimized geometry, PBE.

a = 7.548 Å, b = 7.548 Å, c = 7.548 Å
α = 90.00°, β = 90.00°, γ = 90.00°
Space group Fm-3m (No. 225)
Asymmetric unit:
1 K 0.250 0.250 0.250
2 Tl 0.000 0.000 0.000
3 N 0.000 0.000 0.500

Summary:
ΔE_f (raw), eV/atom: 0.834
Magnetization, μB per formula unit: 0.000

---

Entry 6:
KTlN2: optimized geometry, PBE.

a = 6.380 Å, b = 6.380 Å, c = 6.380 Å
α = 90.00°, β = 90.00°, γ = 90.00°
Space group Fm-3m (No. 225)
Asymmetric unit:
1 K 0.000 0.000 0.000
2 Tl 0.000 0.000 0.500
3 N 0.250 0.250 0.250

Summary:
ΔE_f (raw), eV/atom: 1.521
Magnetization, μB per formula unit: 2.159

---

Entry 7:
K3TlN: optimized geometry, PBE.

a = 5.657 Å, b = 5.657 Å, c = 5.657 Å
α = 90.00°, β = 90.00°, γ = 90.00°
Space group Pm-3m (No. 221)
Asymmetric unit:
1 K 0.000 0.000 0.500
2 Tl 0.500 0.500 0.500
3 N 0.000 0.000 0.000

Summary:
ΔE_f (raw), eV/atom: 0.452
Magnetization, μB per formula unit: 2.008

---

Entry 8:
KU4TlN8: optimized geometry, PBE.

a = 7.0194 Å, b = 7.0194 Å, c = 20.2669 Å
α = 90.00°, β = 90.00°, γ = 120.00°
Space group R3m (No. 160, hexagonal axes)
Asymmetric unit:
1 K 0.0000 0.0000 0.0000
2 U 0.0000 0.0000 0.4895
3 U 0.1677 0.3354 0.8319
4 Tl 0.0000 0.0000 0.6535
5 N 0.0000 0.0000 0.2089
6 N 0.0000 0.0000 0.7867
7 N 0.0036 0.5018 0.2089
8 N 0.0090 0.5045 0.7836

Summary:
ΔE_f (raw), eV/atom: -0.984
Magnetization, μB per formula unit: 2.171